w | LiY | PBE-GGA | optimized geometry

```
LiY
1.0
3.939 0.000 0.000
0.000 5.497 0.000
0.000 0.000 10.230
Li Y
4 4
Direct
0.000 0.250 0.105
0.000 0.750 0.895
0.500 0.250 0.895
0.500 0.750 0.105
0.000 0.250 0.636
0.000 0.750 0.364
0.500 0.250 0.364
0.500 0.750 0.636
```

x | LiY | PBE-GGA | optimized geometry

```
LiY
1.0
3.478 0.000 0.000
-1.739 3.012 0.000
0.000 0.000 31.915
Li Y
6 6
Direct
0.000 0.000 0.130
0.000 0.000 0.870
0.333 0.667 0.536
0.333 0.667 0.797
0.667 0.333 0.203
0.667 0.333 0.464
0.000 0.000 0.378
0.000 0.000 0.622
0.333 0.667 0.045
0.333 0.667 0.289
0.667 0.333 0.711
0.667 0.333 0.955
```

y | LiY | PBE-GGA | optimized geometry

```
LiY
1.0
3.484 0.000 0.000
1.739 3.023 0.000
0.000 0.006 10.562
Li Y
2 2
Direct
0.000 0.000 0.000
0.332 0.337 0.217
0.334 0.336 0.741
0.667 0.672 0.473
```

z | LiY | PBE-GGA | optimized geometry

```
LiY
1.0
3.392 0.000 0.000
0.000 12.508 0.000
0.000 0.000 5.016
Li Y
4 4
Direct
0.000 0.065 0.250
0.000 0.935 0.750
0.500 0.435 0.750
0.500 0.565 0.250
0.000 0.327 0.250
0.000 0.673 0.750
0.500 0.173 0.750
0.500 0.827 0.250
```

According to the calculations, the structures order from most to least stable as x, y, w, z.